(1)
Below is a geometry-optimized CsZn2NiF8 structure, with properties calculated at the GGA+U level.

Summary:
Raw total energy = -3.907 eV per atom
Total magnetization = 3.1 Bohr magnetons per cell

a = 5.303 Å, b = 5.303 Å, c = 8.780 Å
α = 72.42°, β = 72.42°, γ = 60.00°
Fractional positions:
Cs: 0.500 0.500 0.500
Zn: 0.266 0.266 0.202
Zn: 0.734 0.734 0.798
Ni: 0.000 0.000 0.000
F: 0.190 0.190 0.429
F: 0.659 0.254 0.132
F: 0.810 0.810 0.571
F: 0.955 0.659 0.132
F: 0.045 0.341 0.868
F: 0.254 0.955 0.132
F: 0.746 0.045 0.868
F: 0.341 0.746 0.868

***

(2)
Below is a geometry-optimized NiSO2 structure, with properties calculated at the GGA+U level.

Summary:
Raw total energy = -4.852 eV per atom
Total magnetization = 2.0 Bohr magnetons per cell

a = 4.479 Å, b = 6.369 Å, c = 4.223 Å
α = 91.46°, β = 121.88°, γ = 89.84°
Fractional positions:
Ni: 0.823 0.674 0.712
Ni: 0.405 0.175 0.725
S: 0.375 0.875 0.019
S: 0.161 0.373 0.023
O: 0.451 0.433 0.437
O: 0.498 0.929 0.434
O: 0.680 0.721 0.091
O: 0.930 0.223 0.097

***

Repeat the second record exactly.
Below is a geometry-optimized NiSO2 structure, with properties calculated at the GGA+U level.

Summary:
Raw total energy = -4.852 eV per atom
Total magnetization = 2.0 Bohr magnetons per cell

a = 4.479 Å, b = 6.369 Å, c = 4.223 Å
α = 91.46°, β = 121.88°, γ = 89.84°
Fractional positions:
Ni: 0.823 0.674 0.712
Ni: 0.405 0.175 0.725
S: 0.375 0.875 0.019
S: 0.161 0.373 0.023
O: 0.451 0.433 0.437
O: 0.498 0.929 0.434
O: 0.680 0.721 0.091
O: 0.930 0.223 0.097

***

Q: The lowest total magnetization belongs to which entry?
A: NiSO2

***

Q: Number 1 is which compound?
A: CsZn2NiF8